(1)
Density functional theory data (PBE-GGA) for an optimized crystal structure of Nd2HoCd3.

Output
**E_form**: -0.313 eV per atom
**Final energy**: -3.12 eV per atom
**Magnetization**: 0.176 μB per atom

a b c (Å): 3.793 3.793 11.572
angles (deg): 90.00 90.00 90.00
Positions (direct):
1 Cd 0.000 0.000 0.346
2 Cd 0.000 0.000 0.654
3 Cd 0.000 0.000 0.000
4 Ho 0.500 0.500 0.500
5 Nd 0.500 0.500 0.171
6 Nd 0.500 0.500 0.829

***

(2)
Density functional theory data (PBE-GGA) for an optimized crystal structure of NbAl2SiN.

Output
**Formation energy without anion corrections**: 1702 meV per atom
**Final energy**: -4.56 eV per atom
**Magnetization**: 0.615 μB per atom

a b c (Å): 5.156 4.848 5.156
angles (deg): 90.00 90.00 90.00
Positions (direct):
1 N 0.500 0.500 0.500
2 Al 0.500 0.000 0.000
3 Al 0.000 0.000 0.500
4 Si 0.000 0.500 0.000
5 Nb 0.000 0.000 0.000

***

(3)
Density functional theory data (PBE-GGA) for an optimized crystal structure of Gd3AlN.

Output
**Formation energy without anion corrections**: -864 meV per atom
**Final energy**: -11.73 eV per atom
**Magnetization**: 4.305 μB per atom

a b c (Å): 4.838 4.838 4.838
angles (deg): 90.00 90.00 90.00
Positions (direct):
1 Gd 0.000 0.500 0.500
2 Gd 0.500 0.500 0.000
3 Gd 0.500 0.000 0.500
4 N 0.500 0.500 0.500
5 Al 0.000 0.000 0.000

***

(4)
Density functional theory data (PBE-GGA) for an optimized crystal structure of AcPr12Er6.

Output
**E_form**: 0.184 eV per atom
**Final energy**: -4.49 eV per atom
**Magnetization**: 0.000 μB per atom

a b c (Å): 8.952 8.952 8.952
angles (deg): 99.41 99.41 99.41
Positions (direct):
1 Pr 0.648 0.648 0.920
2 Pr 0.500 0.759 0.241
3 Pr 0.759 0.500 0.241
4 Pr 0.352 0.080 0.352
5 Pr 0.759 0.241 0.500
6 Pr 0.241 0.759 0.500
7 Pr 0.500 0.241 0.759
8 Pr 0.920 0.648 0.648
9 Pr 0.352 0.352 0.080
10 Pr 0.648 0.920 0.648
11 Pr 0.080 0.352 0.352
12 Pr 0.241 0.500 0.759
13 Er 0.659 0.102 0.102
14 Er 0.341 0.898 0.898
15 Er 0.898 0.898 0.341
16 Er 0.102 0.659 0.102
17 Er 0.102 0.102 0.659
18 Er 0.898 0.341 0.898
19 Ac 0.000 0.000 0.000

***

(5)
Density functional theory data (PBE-GGA) for an optimized crystal structure of CdTeRh2.

Output
**Relative energy among the computed polymorphs**: 332.8 meV per atom
**Formation energy without anion corrections**: 238 meV per atom
**Final energy**: -4.45 eV per atom
**Magnetization**: 0.000 μB per atom

a b c (Å): 4.681 4.681 4.681
angles (deg): 60.00 60.00 60.00
Positions (direct):
1 Cd 0.500 0.500 0.500
2 Rh 0.750 0.750 0.750
3 Rh 0.000 0.000 0.000
4 Te 0.250 0.250 0.250

***

(6)
Density functional theory data (PBE-GGA) for an optimized crystal structure of TcOs2Br.

Output
**Relative energy among the computed polymorphs**: 181.3 meV per atom
**Formation energy without anion corrections**: 870 meV per atom
**Final energy**: -7.75 eV per atom
**Magnetization**: 0.000 μB per atom

a b c (Å): 5.206 5.206 4.410
angles (deg): 86.76 86.76 31.89
Positions (direct):
1 Br 0.250 0.250 0.250
2 Tc 0.750 0.750 0.750
3 Os 0.470 0.470 0.520
4 Os 0.030 0.030 0.980

***

(7)
Density functional theory data (PBE-GGA) for an optimized crystal structure of Pm3Tl2N.

Output
**Formation energy without anion corrections**: -700 meV per atom
**Final energy**: -5.25 eV per atom
**Magnetization**: 0.000 μB per atom

a b c (Å): 4.972 7.421 9.365
angles (deg): 113.47 105.39 90.00
Positions (direct):
1 Pm 0.106 0.106 0.212
2 Pm 0.894 0.394 0.788
3 Pm 0.500 0.250 0.000
4 Pm 0.894 0.894 0.788
5 Pm 0.106 0.606 0.212
6 Pm 0.500 0.750 0.000
7 Tl 0.695 0.946 0.390
8 Tl 0.695 0.446 0.390
9 Tl 0.305 0.054 0.610
10 Tl 0.305 0.554 0.610
11 N 0.000 0.250 0.000
12 N 0.000 0.750 0.000

***

(8)
Density functional theory data (PBE-GGA) for an optimized crystal structure of SrAl2SnS6.

Output
**Formation energy without anion corrections**: -1064 meV per atom
**Final energy**: -4.86 eV per atom
**Magnetization**: 0.000 μB per atom

a b c (Å): 6.837 9.687 9.687
angles (deg): 81.94 64.99 64.99
Positions (direct):
1 S 0.233 0.317 0.392
2 S 0.267 0.608 0.683
3 S 0.621 0.117 0.597
4 S 0.767 0.683 0.608
5 S 0.102 0.996 0.804
6 S 0.898 0.004 0.196
7 S 0.379 0.883 0.403
8 S 0.121 0.597 0.117
9 S 0.398 0.196 0.004
10 S 0.602 0.804 0.996
11 S 0.733 0.392 0.317
12 S 0.879 0.403 0.883
13 Al 0.389 0.806 0.634
14 Al 0.889 0.634 0.806
15 Al 0.111 0.366 0.194
16 Al 0.611 0.194 0.366
17 Sr 0.750 0.360 0.640
18 Sr 0.250 0.640 0.360
19 Sn 0.750 0.823 0.177
20 Sn 0.250 0.177 0.823

***

(9)
Density functional theory data (PBE-GGA) for an optimized crystal structure of Ag5Pd6Pb.

Output
**E_form**: -0.103 eV per atom
**Relative energy among the computed polymorphs**: 0.0 meV per atom
**Final energy**: -4.20 eV per atom
**Magnetization**: 0.000 μB per atom

a b c (Å): 4.818 6.026 7.105
angles (deg): 90.00 97.28 90.00
Positions (direct):
1 Pd 0.846 0.749 0.668
2 Pd 0.500 0.750 0.000
3 Pd 0.154 0.749 0.332
4 Pd 0.500 0.250 0.000
5 Pd 0.846 0.251 0.668
6 Pd 0.154 0.251 0.332
7 Ag 0.655 0.000 0.342
8 Ag 0.344 0.500 0.665
9 Ag 0.000 0.500 0.000
10 Ag 0.345 0.000 0.658
11 Ag 0.656 0.500 0.335
12 Pb 0.000 0.000 0.000

***

(10)
Density functional theory data (PBE-GGA) for an optimized crystal structure of PtBr2Cl2.

Output
**Formation energy without anion corrections**: -13 meV per atom
**Final energy**: -2.63 eV per atom
**Magnetization**: 0.000 μB per atom

a b c (Å): 6.973 5.868 9.656
angles (deg): 107.69 111.17 90.00
Positions (direct):
1 Cl 0.000 0.246 0.000
2 Cl 0.500 0.246 0.000
3 Cl 0.000 0.754 0.000
4 Cl 0.500 0.754 0.000
5 Br 0.750 0.500 0.500
6 Br 0.750 0.000 0.500
7 Br 0.250 0.500 0.500
8 Br 0.250 0.000 0.500
9 Pt 0.250 0.500 0.000
10 Pt 0.750 0.500 0.000

***

(11)
Density functional theory data (PBE-GGA) for an optimized crystal structure of CsSrIn2Bi2.

Output
**E_form**: -0.393 eV per atom
**Final energy**: -3.02 eV per atom
**Magnetization**: 0.000 μB per atom

a b c (Å): 5.559 5.559 9.170
angles (deg): 90.00 90.00 120.00
Positions (direct):
1 Bi 0.333 0.667 0.294
2 Bi 0.667 0.333 0.706
3 In 0.667 0.333 0.339
4 In 0.333 0.667 0.661
5 Cs 0.000 0.000 0.000
6 Sr 0.000 0.000 0.500

***

(12)
Density functional theory data (PBE-GGA) for an optimized crystal structure of Sr2Ga7Ru.

Output
**E_form**: -0.347 eV per atom
**Final energy**: -3.73 eV per atom
**Magnetization**: 0.000 μB per atom

a b c (Å): 4.359 4.359 10.964
angles (deg): 90.00 90.00 90.00
Positions (direct):
1 Ga 0.000 0.000 0.000
2 Ga 0.000 0.500 0.637
3 Ga 0.000 0.500 0.876
4 Ga 0.500 0.000 0.363
5 Ga 0.500 0.000 0.124
6 Ga 0.000 0.000 0.500
7 Ga 0.500 0.500 0.500
8 Ru 0.500 0.500 0.000
9 Sr 0.500 0.000 0.754
10 Sr 0.000 0.500 0.246